(1)
DFT (PBE) results for crystalline Tb4Nd4Er3 at its relaxed geometry.

```
Tb4Nd4Er3
1.0
-2.332 -2.234 1.449
1.198 -3.846 -4.000
12.320 -9.781 9.072
Er Tb Nd
3 4 4
Cartesian
9.429 -9.881 4.269 Er
1.198 -3.847 -4.000 Er
1.758 -5.981 2.252 Er
6.508 -8.469 6.066 Tb
0.605 -3.651 -0.334 Tb
10.582 -12.211 6.856 Tb
4.679 -7.393 0.455 Tb
5.403 -6.163 3.519 Nd
8.828 -9.683 7.928 Nd
5.783 -9.698 3.002 Nd
2.359 -6.179 -1.407 Nd
```

## Properties
- DOS at the Fermi energy (states/eV/cell) = 18.44
- energy above the most stable polymorph in this dataset (kJ/mol of atoms) = 0.0
- formation energy from the elements (eV per formula unit) = 0.7
- VASP energy (eV per atom) = -4.60



(2)
DFT (PBE) results for crystalline Tb2Tm4MgSc at its relaxed geometry.

```
Tb2Tm4MgSc
1.0
4.876 0.000 0.000
0.000 4.790 0.966
0.000 2.869 10.521
Tb Mg Sc Tm
2 1 1 4
Cartesian
2.438 1.435 5.261 Tb
0.000 2.869 10.521 Tb
2.438 2.395 0.483 Mg
0.000 3.830 5.744 Sc
2.438 4.298 3.396 Tm
4.876 1.905 2.910 Tm
2.438 3.361 8.092 Tm
0.000 5.754 8.577 Tm
```

## Properties
- DOS at the Fermi energy (states/eV/cell) = 11.70
- formation energy from the elements (eV per formula unit) = 0.3
- VASP energy (eV per atom) = -4.35



(3)
DFT (PBE) results for crystalline Nd2MgGa3Pd4 at its relaxed geometry.

```
Nd2MgGa3Pd4
1.0
4.313 0.000 0.000
0.000 4.313 0.000
0.000 0.000 10.665
Pd Nd Mg Ga
4 2 1 3
Cartesian
2.156 0.000 6.819 Pd
0.000 0.000 0.000 Pd
2.156 2.156 0.000 Pd
0.000 2.156 3.846 Pd
2.156 0.000 2.538 Nd
0.000 2.156 8.128 Nd
2.156 2.156 5.333 Mg
2.156 0.000 9.318 Ga
0.000 0.000 5.333 Ga
0.000 2.156 1.347 Ga
```

## Properties
- DOS at the Fermi energy (states/eV/cell) = 7.21
- formation energy from the elements (eV per formula unit) = -7.7
- VASP energy (eV per atom) = -4.87



(4)
DFT (PBE) results for crystalline Ag3Br4Cl at its relaxed geometry.

```
Ag3Br4Cl
1.0
-2.735 -2.136 -5.882
6.290 3.929 -0.387
1.652 -11.163 3.285
Cl Br Ag
2 8 6
Cartesian
5.673 0.315 -1.551 Cl
5.670 -5.914 -1.691 Cl
2.265 -6.527 -1.099 Br
2.880 -2.505 -2.268 Br
3.034 1.109 -4.292 Br
5.570 -3.137 1.028 Br
2.161 -10.042 1.493 Br
4.974 -7.096 2.102 Br
0.370 -1.780 -5.039 Br
-0.608 -5.978 -4.327 Br
3.136 0.693 -1.739 Ag
3.979 -7.421 -2.966 Ag
1.945 -9.927 -1.220 Ag
1.089 -4.369 -2.928 Ag
3.983 -4.873 -0.053 Ag
3.046 -1.922 -4.837 Ag
```

## Properties
- DOS at the Fermi energy (states/eV/cell) = 13.23
- VASP energy (eV per atom) = -2.40
- raw formation energy (meV/atom) = -266



(5)
DFT (PBE) results for crystalline V3AuCl at its relaxed geometry.

```
V3AuCl
1.0
-0.822 -2.672 -4.140
-1.179 -3.969 2.795
-4.785 1.437 0.022
Au V Cl
1 3 1
Cartesian
0.000 0.000 0.000 Au
-0.589 -1.984 1.398 V
-2.392 0.718 0.011 V
-0.411 -1.336 -2.070 V
-3.392 -2.602 -0.661 Cl
```

## Properties
- DOS at the Fermi energy (states/eV/cell) = 13.92
- energy above the most stable polymorph in this dataset (kJ/mol of atoms) = 79.9
- VASP energy (eV per atom) = -5.23
- raw formation energy (meV/atom) = 1264



(6)
DFT (PBE) results for crystalline AgAs2Rh at its relaxed geometry.

```
AgAs2Rh
1.0
4.313 0.019 -0.006
3.189 2.903 -0.006
1.065 0.415 5.628
Ag As Rh
1 2 1
Cartesian
2.142 0.834 1.404 Ag
4.221 1.644 3.012 As
1.127 0.439 5.425 As
6.425 2.503 4.212 Rh
```

## Properties
- DOS at the Fermi energy (states/eV/cell) = 1.77
- energy above the most stable polymorph in this dataset (kJ/mol of atoms) = 3.9
- formation energy from the elements (eV per formula unit) = -0.1
- VASP energy (eV per atom) = -4.89